DFT (PBE) results for a geometry-optimized Pr12Pt3N5 structure.

POSCAR file:
```
Pr12Pt3N5
1.0
-7.9912 7.9912 7.9912
7.9912 -7.9912 7.9912
7.9912 7.9912 -7.9912
Pr Pt N
48 12 20
Cartesian
2.3983 -0.5103 0.8677
9.5886 4.8633 -4.5059
10.3895 0.5103 0.8677
9.5886 -3.1280 4.5059
7.4809 -0.8677 2.3983
12.4972 -1.5973 3.1280
0.8677 2.3983 -0.5103
11.1192 3.4853 -1.5973
4.8633 4.5059 -1.5973
7.1236 2.3983 0.5103
-0.5103 0.8677 2.3983
4.5059 -1.5973 4.8633
7.4809 7.1236 -2.3983
4.5059 1.5973 3.1280
4.8633 -4.5059 9.5886
7.1236 -2.3983 7.4809
3.1280 4.5059 1.5973
8.8589 5.5930 0.5103
4.5059 9.5886 -3.1280
7.4809 0.8677 5.5930
2.3983 7.4809 -0.8677
9.5886 3.1280 3.4853
1.5973 3.1280 4.5059
2.3983 0.5103 7.1236
5.5930 7.4809 0.8677
6.3939 4.8633 3.4853
-1.5973 4.8633 4.5059
5.5930 0.5103 8.8589
0.5103 7.1236 2.3983
3.4853 -1.5973 11.1192
-0.8677 2.3983 7.4809
4.8633 3.4853 6.3939
0.8677 10.3895 0.5103
3.1280 12.4972 -1.5973
3.4853 6.3939 4.8633
0.5103 0.8677 10.3895
3.4853 9.5886 3.1280
8.5015 7.1236 5.5930
0.8677 5.5930 7.4809
3.1280 3.4853 9.5886
-3.1280 4.5059 9.5886
7.1236 5.5930 8.5015
-4.5059 9.5886 4.8633
0.5103 8.8589 5.5930
-1.5973 11.1192 3.4853
-2.3983 7.4809 7.1236
-1.5973 3.1280 12.4972
5.5930 8.5015 7.1236
3.9956 1.9978 0.0000
7.9912 3.9956 -1.9978
1.9978 0.0000 3.9956
9.9890 0.0000 3.9956
0.0000 3.9956 1.9978
3.9956 -1.9978 7.9912
3.9956 9.9890 0.0000
7.9912 3.9956 5.9934
-1.9978 7.9912 3.9956
5.9934 7.9912 3.9956
0.0000 3.9956 9.9890
3.9956 5.9934 7.9912
0.0000 0.0000 0.0000
3.9956 3.9956 -3.9956
3.9956 -3.9956 3.9956
7.9912 0.0000 0.0000
11.9868 1.9978 0.0000
7.9912 -3.9956 5.9934
5.9934 7.9912 -3.9956
5.9934 0.0000 3.9956
3.9956 5.9934 0.0000
7.9912 3.9956 1.9978
-3.9956 3.9956 3.9956
0.0000 7.9912 0.0000
0.0000 0.0000 7.9912
3.9956 3.9956 3.9956
0.0000 3.9956 5.9934
3.9956 1.9978 7.9912
1.9978 7.9912 3.9956
1.9978 0.0000 11.9868
0.0000 11.9868 1.9978
-3.9956 5.9934 7.9912
```

Properties
- Theoretical density: 7.63 Mg/m³
- Total moment: 0.000 μB/f.u.
- Energy relative to the elements, uncorrected: -0.870 eV per atom
- Space group: Ia-3d (230)